Run w
Here is crystalline TaGa2Pd2 at its relaxed geometry from the Alexandria database. Energies are from GGA-PBE.

Calculated values
- space-group type = P4/mbm, No. 127

Cell and atoms, written as extended XYZ:
```
10
Lattice="7.473 0.000 0.000 0.000 7.473 0.000 0.000 0.000 2.826" Properties=species:S:1:pos:R:3 pbc="T T T"
Ta 0.000 0.000 0.000
Ta 3.737 3.737 0.000
Ga 1.238 2.499 1.413
Ga 2.499 6.236 1.413
Ga 4.974 1.238 1.413
Ga 6.236 4.974 1.413
Pd 0.998 4.734 0.000
Pd 2.739 0.998 0.000
Pd 4.734 6.476 0.000
Pd 6.476 2.739 0.000
```


Run x
Here is crystalline TaGa2Pd2 at its relaxed geometry from the Alexandria database. Energies are from GGA-PBE.

Calculated values
- space-group type = P4/mbm, No. 127

Cell and atoms, written as extended XYZ:
```
10
Lattice="7.390 0.000 0.000 0.000 7.390 0.000 0.000 0.000 2.880" Properties=species:S:1:pos:R:3 pbc="T T T"
Ta 0.000 0.000 0.000
Ta 3.695 3.695 0.000
Ga 1.049 2.646 0.000
Ga 2.646 6.342 0.000
Ga 4.744 1.049 0.000
Ga 6.342 4.744 0.000
Pd 1.158 4.854 1.440
Pd 2.537 1.158 1.440
Pd 4.854 6.232 1.440
Pd 6.232 2.537 1.440
```


run x is favored, and the nearest alternative lies 27 meV/atom above it.


Run w
Here is crystalline Tb2GaPd4 at its relaxed geometry from the Alexandria database. Energies are from GGA-PBE.

Calculated values
- space-group type = I4/mmm, No. 139

Cell and atoms, written as extended XYZ:
```
14
Lattice="6.187 0.000 0.000 0.000 6.187 0.000 0.000 0.000 7.803" Properties=species:S:1:pos:R:3 pbc="T T T"
Tb 0.000 3.094 1.951
Tb 0.000 3.094 5.852
Tb 3.094 0.000 1.951
Tb 3.094 0.000 5.852
Ga 0.000 0.000 0.000
Ga 3.094 3.094 3.901
Pd 1.356 1.356 3.901
Pd 1.356 4.831 3.901
Pd 1.737 1.737 0.000
Pd 1.737 4.450 0.000
Pd 4.450 1.737 0.000
Pd 4.450 4.450 0.000
Pd 4.831 1.356 3.901
Pd 4.831 4.831 3.901
```


Run x
Here is crystalline Tb2GaPd4 at its relaxed geometry from the Alexandria database. Energies are from GGA-PBE.

Calculated values
- space-group type = Fmmm, No. 69

Cell and atoms, written as extended XYZ:
```
7
Lattice="0.000 3.885 7.163 2.835 0.000 7.163 2.835 3.885 0.000" Properties=species:S:1:pos:R:3 pbc="T T T"
Tb 2.835 3.885 1.874
Tb 2.835 3.885 12.453
Ga 2.835 3.885 7.163
Pd 1.418 1.942 0.000
Pd 2.835 3.885 4.649
Pd 1.418 1.942 7.163
Pd 2.835 3.885 9.677
```


run w is favored, and the nearest alternative lies 208 meV/atom above it.


Run w
Here is crystalline TbGa2Pd7 at its relaxed geometry from the Alexandria database. Energies are from GGA-PBE.

Calculated values
- space-group type = I4/mmm, No. 139

Cell and atoms, written as extended XYZ:
```
10
Lattice="-2.064 2.064 10.057 2.064 -2.064 10.057 2.064 2.064 -10.057" Properties=species:S:1:pos:R:3 pbc="T T T"
Tb 0.000 0.000 0.000
Ga 0.000 0.000 6.519
Ga 0.000 0.000 13.594
Pd 2.064 0.000 2.068
Pd 2.064 0.000 5.028
Pd 2.064 0.000 7.988
Pd 0.000 0.000 10.057
Pd 0.000 2.064 2.068
Pd 0.000 2.064 5.028
Pd 0.000 2.064 7.988
```


Run x
Here is crystalline TbGa2Pd7 at its relaxed geometry from the Alexandria database. Energies are from GGA-PBE.

Calculated values
- space-group type = Cmmm, No. 65

Cell and atoms, written as extended XYZ:
```
10
Lattice="3.665 -6.089 0.000 3.665 6.089 0.000 0.000 0.000 4.528" Properties=species:S:1:pos:R:3 pbc="T T T"
Tb 0.000 0.000 0.000
Ga 3.665 2.433 2.264
Ga 3.665 -2.433 2.264
Pd 1.376 1.459 2.264
Pd 3.665 3.330 0.000
Pd 1.376 -1.459 2.264
Pd 3.665 0.000 2.264
Pd 5.954 1.459 2.264
Pd 3.665 -3.330 0.000
Pd 5.954 -1.459 2.264
```


run w is favored, and the nearest alternative lies 364 meV/atom above it.